# 1
Density functional theory data (GGA-PBE) for crystalline Pm2DyCo at its relaxed geometry.

Unit cell a=5.2870 b=5.2870 c=5.2918 alpha=60.03 beta=60.03 gamma=60.00
With the nearest neighbours (Å) after each atom.
Sites, in units of the cell vectors:
1 Pm 0.2502 0.2502 0.2495  4 Co 3.24, 4 Dy 3.24
2 Pm 0.7498 0.7498 0.7505  4 Co 3.24, 4 Dy 3.24
3 Co 0.0000 0.0000 0.0000  8 Pm 3.24
4 Dy 0.5000 0.5000 0.5000  8 Pm 3.24

Output
As for the crystal system: cubic. The formation energy comes out at 0.348 eV/atom. Its uncorrected energy is -4.95 eV/atom.

# 2
Density functional theory data (GGA-PBE) for crystalline Pm2DyCo9 at its relaxed geometry.

Unit cell a=4.9939 b=4.9939 c=8.7542 alpha=73.43 beta=73.43 gamma=60.00
With the nearest neighbours (Å) after each atom.
Sites, in units of the cell vectors:
1 Pm 0.8605 0.8605 0.4185  12 Co 2.91-3.19, 3 Pm 3.18
2 Pm 0.1395 0.1395 0.5815  12 Co 2.91-3.19, 3 Pm 3.18
3 Dy 0.0000 0.0000 0.0000  18 Co 2.88-3.18
4 Co 0.6663 0.6663 0.0010  6 Co 2.43-2.45
5 Co 0.3337 0.3337 0.9990  6 Co 2.43-2.45
6 Co 0.5000 0.5000 0.5000  6 Co 2.60
7 Co 0.4215 0.4215 0.2374  7 Co 2.43-2.60
8 Co 0.9195 0.4215 0.2374  7 Co 2.43-2.60
9 Co 0.4215 0.9195 0.2374  7 Co 2.43-2.60
10 Co 0.5785 0.5785 0.7626  7 Co 2.43-2.60
11 Co 0.5785 0.0805 0.7626  7 Co 2.43-2.60
12 Co 0.0805 0.5785 0.7626  7 Co 2.43-2.60

Output
As for the crystal system: trigonal. The formation energy comes out at -0.104 eV/atom. Its uncorrected energy is -6.61 eV/atom.

# 3
Density functional theory data (GGA-PBE) for crystalline PmDyCo4 at its relaxed geometry.

Unit cell a=5.1118 b=5.1118 c=5.1118 alpha=60.00 beta=60.00 gamma=60.00
With the nearest neighbours (Å) after each atom.
Sites, in units of the cell vectors:
1 Pm 0.0000 0.0000 0.0000  12 Co 3.00, 4 Dy 3.13
2 Co 0.6246 0.6246 0.1262  6 Co 2.55-2.56
3 Co 0.6246 0.1262 0.6246  6 Co 2.55-2.56
4 Co 0.6246 0.6246 0.6246  6 Co 2.55-2.56
5 Co 0.1262 0.6246 0.6246  6 Co 2.55-2.56
6 Dy 0.2500 0.2500 0.2500  12 Co 3.00, 4 Pm 3.13

Output
As for the crystal system: cubic. The formation energy comes out at -0.133 eV/atom. Its uncorrected energy is -6.43 eV/atom.

# 4
Density functional theory data (GGA-PBE) for crystalline Pm3DyCo at its relaxed geometry.

Unit cell a=5.3999 b=5.3999 c=5.3999 alpha=90.00 beta=90.00 gamma=90.00
With the nearest neighbours (Å) after each atom.
Sites, in units of the cell vectors:
1 Pm 0.0000 0.5000 0.0000  2 Co 2.70
2 Pm 0.0000 0.0000 0.5000  2 Co 2.70
3 Pm 0.5000 0.0000 0.0000  2 Co 2.70
4 Co 0.0000 0.0000 0.0000  6 Pm 2.70
5 Dy 0.5000 0.5000 0.5000  12 Pm 3.82

Output
As for the crystal system: cubic. The formation energy comes out at 0.091 eV/atom. Its uncorrected energy is -5.10 eV/atom.

- What is the uncorrected energy in the fourth record?
  -5.10 eV/atom

Copy entry 2 word for word.
Density functional theory data (GGA-PBE) for crystalline Pm2DyCo9 at its relaxed geometry.

Unit cell a=4.9939 b=4.9939 c=8.7542 alpha=73.43 beta=73.43 gamma=60.00
With the nearest neighbours (Å) after each atom.
Sites, in units of the cell vectors:
1 Pm 0.8605 0.8605 0.4185  12 Co 2.91-3.19, 3 Pm 3.18
2 Pm 0.1395 0.1395 0.5815  12 Co 2.91-3.19, 3 Pm 3.18
3 Dy 0.0000 0.0000 0.0000  18 Co 2.88-3.18
4 Co 0.6663 0.6663 0.0010  6 Co 2.43-2.45
5 Co 0.3337 0.3337 0.9990  6 Co 2.43-2.45
6 Co 0.5000 0.5000 0.5000  6 Co 2.60
7 Co 0.4215 0.4215 0.2374  7 Co 2.43-2.60
8 Co 0.9195 0.4215 0.2374  7 Co 2.43-2.60
9 Co 0.4215 0.9195 0.2374  7 Co 2.43-2.60
10 Co 0.5785 0.5785 0.7626  7 Co 2.43-2.60
11 Co 0.5785 0.0805 0.7626  7 Co 2.43-2.60
12 Co 0.0805 0.5785 0.7626  7 Co 2.43-2.60

Output
As for the crystal system: trigonal. The formation energy comes out at -0.104 eV/atom. Its uncorrected energy is -6.61 eV/atom.